1.
YZn10Cu2 | PBE-GGA | relaxed

Structure (CIF):
```
data_YZn10Cu2
_cell_length_a 5.073
_cell_length_b 6.756
_cell_length_c 6.776
_cell_angle_alpha 81.92
_cell_angle_beta 68.02
_cell_angle_gamma 67.95
_space_group_name_H-M_alt 'P 1'
_space_group_IT_number 1
loop_
_space_group_symop_operation_xyz
'x,y,z'
loop_
_atom_site_label
_atom_site_type_symbol
_atom_site_fract_x
_atom_site_fract_y
_atom_site_fract_z
Y1 Y 0.000 0.000 0.000
Zn1 Zn 0.351 0.641 0.657
Zn2 Zn 0.649 0.359 0.343
Zn3 Zn 0.992 0.359 0.657
Zn4 Zn 0.008 0.641 0.343
Zn5 Zn 0.000 0.000 0.500
Zn6 Zn 0.500 0.000 0.500
Zn7 Zn 0.282 0.222 0.213
Zn8 Zn 0.718 0.778 0.787
Zn9 Zn 0.504 0.778 0.213
Zn10 Zn 0.496 0.222 0.787
Cu1 Cu 0.000 0.500 0.000
Cu2 Cu 0.500 0.500 0.000
```

space group = Fmmm, No. 69
ΔH_f (0 K) = -18 kJ per mole of atoms


2.
CsNaNpS3 | PBE-GGA | relaxed

Structure (CIF):
```
data_CsNaNpS3
_cell_length_a 4.204
_cell_length_b 9.332
_cell_length_c 9.943
_cell_angle_alpha 108.86
_cell_angle_beta 90.00
_cell_angle_gamma 90.00
_space_group_name_H-M_alt 'P 1'
_space_group_IT_number 1
loop_
_space_group_symop_operation_xyz
'x,y,z'
loop_
_atom_site_label
_atom_site_type_symbol
_atom_site_fract_x
_atom_site_fract_y
_atom_site_fract_z
Cs1 Cs 0.250 0.238 0.264
Cs2 Cs 0.750 0.762 0.736
Na1 Na 0.250 0.066 0.607
Na2 Na 0.750 0.934 0.393
Np1 Np 0.250 0.672 0.143
Np2 Np 0.750 0.328 0.857
S1 S 0.750 0.845 0.112
S2 S 0.250 0.155 0.888
S3 S 0.250 0.769 0.423
S4 S 0.750 0.231 0.577
S5 S 0.750 0.480 0.140
S6 S 0.250 0.520 0.860
```

space group = P2_1/m, No. 11
ΔE_f (raw) = -1.240 eV per atom


3.
RbSr2NbAu | PBE-GGA | relaxed

Structure (CIF):
```
data_RbSr2NbAu
_cell_length_a 6.141
_cell_length_b 5.240
_cell_length_c 6.141
_cell_angle_alpha 90.00
_cell_angle_beta 90.00
_cell_angle_gamma 90.00
_space_group_name_H-M_alt 'P 1'
_space_group_IT_number 1
loop_
_space_group_symop_operation_xyz
'x,y,z'
loop_
_atom_site_label
_atom_site_type_symbol
_atom_site_fract_x
_atom_site_fract_y
_atom_site_fract_z
Sr1 Sr 0.000 0.000 0.500
Sr2 Sr 0.500 0.000 0.000
Nb1 Nb 0.000 0.000 0.000
Au1 Au 0.000 0.500 0.000
Rb1 Rb 0.500 0.500 0.500
```

space group = P4/mmm, No. 123
ΔH_f (0 K) = 56 kJ per mole of atoms


4.
Mg6Tl12In | PBE-GGA | relaxed

Structure (CIF):
```
data_Mg6Tl12In
_cell_length_a 8.664
_cell_length_b 8.664
_cell_length_c 8.664
_cell_angle_alpha 106.94
_cell_angle_beta 106.94
_cell_angle_gamma 106.94
_space_group_name_H-M_alt 'P 1'
_space_group_IT_number 1
loop_
_space_group_symop_operation_xyz
'x,y,z'
loop_
_atom_site_label
_atom_site_type_symbol
_atom_site_fract_x
_atom_site_fract_y
_atom_site_fract_z
Mg1 Mg 0.618 0.752 0.324
Mg2 Mg 0.676 0.382 0.248
Mg3 Mg 0.248 0.676 0.382
Mg4 Mg 0.382 0.248 0.676
Mg5 Mg 0.324 0.618 0.752
Mg6 Mg 0.752 0.324 0.618
Tl1 Tl 0.903 0.687 0.612
Tl2 Tl 0.612 0.903 0.687
Tl3 Tl 0.687 0.612 0.903
Tl4 Tl 0.097 0.313 0.388
Tl5 Tl 0.388 0.097 0.313
Tl6 Tl 0.313 0.388 0.097
Tl7 Tl 0.997 0.849 0.322
Tl8 Tl 0.151 0.678 0.003
Tl9 Tl 0.678 0.003 0.151
Tl10 Tl 0.003 0.151 0.678
Tl11 Tl 0.849 0.322 0.997
Tl12 Tl 0.322 0.997 0.849
In1 In 0.000 0.000 0.000
```

space group = R-3, No. 148
ΔH_f (0 K) = 6 kJ per mole of atoms
ΔE to the lowest computed polymorph = 34 meV per atom


5.
CoWCl2 | PBE-GGA | relaxed

Structure (CIF):
```
data_CoWCl2
_cell_length_a 4.473
_cell_length_b 4.473
_cell_length_c 4.473
_cell_angle_alpha 60.00
_cell_angle_beta 60.00
_cell_angle_gamma 60.00
_space_group_name_H-M_alt 'P 1'
_space_group_IT_number 1
loop_
_space_group_symop_operation_xyz
'x,y,z'
loop_
_atom_site_label
_atom_site_type_symbol
_atom_site_fract_x
_atom_site_fract_y
_atom_site_fract_z
Co1 Co 0.500 0.500 0.500
W1 W 0.750 0.750 0.750
Cl1 Cl 0.000 0.000 0.000
Cl2 Cl 0.250 0.250 0.250
```

space group = F-43m, No. 216
ΔE_f (raw) = 1.136 eV per atom
ΔE to the lowest computed polymorph = 1258 meV per atom


6.
Ba3YN | PBE-GGA | relaxed

Structure (CIF):
```
data_Ba3YN
_cell_length_a 6.696
_cell_length_b 6.696
_cell_length_c 6.696
_cell_angle_alpha 90.00
_cell_angle_beta 90.00
_cell_angle_gamma 90.00
_space_group_name_H-M_alt 'P 1'
_space_group_IT_number 1
loop_
_space_group_symop_operation_xyz
'x,y,z'
loop_
_atom_site_label
_atom_site_type_symbol
_atom_site_fract_x
_atom_site_fract_y
_atom_site_fract_z
Y1 Y 0.000 0.000 0.000
Ba1 Ba 0.000 0.500 0.000
Ba2 Ba 0.000 0.000 0.500
Ba3 Ba 0.500 0.000 0.000
N1 N 0.500 0.500 0.500
```

space group = Pm-3m, No. 221
ΔE_f (raw) = 1.553 eV per atom


7.
Nb2ZnReH | PBE-GGA | relaxed

Structure (CIF):
```
data_Nb2ZnReH
_cell_length_a 4.162
_cell_length_b 4.162
_cell_length_c 3.914
_cell_angle_alpha 90.00
_cell_angle_beta 90.00
_cell_angle_gamma 90.00
_space_group_name_H-M_alt 'P 1'
_space_group_IT_number 1
loop_
_space_group_symop_operation_xyz
'x,y,z'
loop_
_atom_site_label
_atom_site_type_symbol
_atom_site_fract_x
_atom_site_fract_y
_atom_site_fract_z
Re1 Re 0.000 0.000 0.500
Nb1 Nb 0.000 0.500 0.000
Nb2 Nb 0.500 0.000 0.000
Zn1 Zn 0.500 0.500 0.500
H1 H 0.000 0.000 0.000
```

space group = P4/mmm, No. 123
ΔE to the lowest computed polymorph = 0 meV per atom


8.
Ge2PbI2 | PBE-GGA | relaxed

Structure (CIF):
```
data_Ge2PbI2
_cell_length_a 9.147
_cell_length_b 9.147
_cell_length_c 3.705
_cell_angle_alpha 90.00
_cell_angle_beta 90.00
_cell_angle_gamma 90.00
_space_group_name_H-M_alt 'P 1'
_space_group_IT_number 1
loop_
_space_group_symop_operation_xyz
'x,y,z'
loop_
_atom_site_label
_atom_site_type_symbol
_atom_site_fract_x
_atom_site_fract_y
_atom_site_fract_z
Pb1 Pb 0.000 0.000 0.000
Pb2 Pb 0.500 0.500 0.000
I1 I 0.363 0.863 0.000
I2 I 0.863 0.637 0.000
I3 I 0.637 0.137 0.000
I4 I 0.137 0.363 0.000
Ge1 Ge 0.194 0.694 0.500
Ge2 Ge 0.694 0.806 0.500
Ge3 Ge 0.806 0.306 0.500
Ge4 Ge 0.306 0.194 0.500
```

space group = P4/mbm, No. 127
ΔE_f (raw) = 0.381 eV per atom
ΔE to the lowest computed polymorph = 331 meV per atom


9.
LiPr2Ru2 | PBE-GGA | relaxed

Structure (CIF):
```
data_LiPr2Ru2
_cell_length_a 5.640
_cell_length_b 5.460
_cell_length_c 8.595
_cell_angle_alpha 102.64
_cell_angle_beta 90.00
_cell_angle_gamma 121.09
_space_group_name_H-M_alt 'P 1'
_space_group_IT_number 1
loop_
_space_group_symop_operation_xyz
'x,y,z'
loop_
_atom_site_label
_atom_site_type_symbol
_atom_site_fract_x
_atom_site_fract_y
_atom_site_fract_z
Li1 Li 0.868 0.000 0.250
Li2 Li 0.132 0.000 0.750
Pr1 Pr 0.500 0.299 0.151
Pr2 Pr 0.202 0.701 0.349
Pr3 Pr 0.500 0.701 0.849
Pr4 Pr 0.798 0.299 0.651
Ru1 Ru 0.731 0.730 0.493
Ru2 Ru 0.001 0.270 0.007
Ru3 Ru 0.269 0.270 0.507
Ru4 Ru 0.999 0.730 0.993
```

space group = C2/c, No. 15
ΔH_f (0 K) = -2 kJ per mole of atoms


10.
UB4Ir4 | PBE-GGA | relaxed

Structure (CIF):
```
data_UB4Ir4
_cell_length_a 3.928
_cell_length_b 7.721
_cell_length_c 7.721
_cell_angle_alpha 90.00
_cell_angle_beta 90.00
_cell_angle_gamma 90.00
_space_group_name_H-M_alt 'P 1'
_space_group_IT_number 1
loop_
_space_group_symop_operation_xyz
'x,y,z'
loop_
_atom_site_label
_atom_site_type_symbol
_atom_site_fract_x
_atom_site_fract_y
_atom_site_fract_z
U1 U 0.000 0.000 0.000
U2 U 0.500 0.500 0.500
B1 B 0.613 0.843 0.275
B2 B 0.613 0.157 0.725
B3 B 0.113 0.775 0.657
B4 B 0.887 0.343 0.775
B5 B 0.887 0.657 0.225
B6 B 0.387 0.275 0.157
B7 B 0.387 0.725 0.843
B8 B 0.113 0.225 0.343
Ir1 Ir 0.386 0.336 0.893
Ir2 Ir 0.886 0.607 0.836
Ir3 Ir 0.386 0.664 0.107
Ir4 Ir 0.114 0.164 0.607
Ir5 Ir 0.614 0.893 0.664
Ir6 Ir 0.114 0.836 0.393
Ir7 Ir 0.886 0.393 0.164
Ir8 Ir 0.614 0.107 0.336
```

space group = P4_2/n, No. 86
ΔH_f (0 K) = -37 kJ per mole of atoms
ΔE to the lowest computed polymorph = 0 meV per atom


11.
BaPr2Sm | PBE-GGA | relaxed

Structure (CIF):
```
data_BaPr2Sm
_cell_length_a 3.819
_cell_length_b 3.819
_cell_length_c 12.787
_cell_angle_alpha 81.41
_cell_angle_beta 81.41
_cell_angle_gamma 60.00
_space_group_name_H-M_alt 'P 1'
_space_group_IT_number 1
loop_
_space_group_symop_operation_xyz
'x,y,z'
loop_
_atom_site_label
_atom_site_type_symbol
_atom_site_fract_x
_atom_site_fract_y
_atom_site_fract_z
Ba1 Ba 0.667 0.667 0.999
Pr1 Pr 0.090 0.090 0.730
Pr2 Pr 0.243 0.243 0.271
Sm1 Sm 0.500 0.500 0.500
```

space group = R3m, No. 160
ΔH_f (0 K) = 11 kJ per mole of atoms
ΔE to the lowest computed polymorph = 14 meV per atom


12.
Pr3Sm8Ho4 | PBE-GGA | relaxed

Structure (CIF):
```
data_Pr3Sm8Ho4
_cell_length_a 6.898
_cell_length_b 9.294
_cell_length_c 9.294
_cell_angle_alpha 82.23
_cell_angle_beta 111.61
_cell_angle_gamma 111.61
_space_group_name_H-M_alt 'P 1'
_space_group_IT_number 1
loop_
_space_group_symop_operation_xyz
'x,y,z'
loop_
_atom_site_label
_atom_site_type_symbol
_atom_site_fract_x
_atom_site_fract_y
_atom_site_fract_z
Pr1 Pr 0.500 0.500 0.000
Pr2 Pr 0.500 0.000 0.500
Pr3 Pr 0.500 0.500 0.500
Sm1 Sm 0.798 0.295 0.295
Sm2 Sm 0.000 0.705 0.295
Sm3 Sm 0.248 0.247 0.247
Sm4 Sm 0.500 0.753 0.247
Sm5 Sm 0.500 0.247 0.753
Sm6 Sm 0.752 0.753 0.753
Sm7 Sm 0.000 0.295 0.705
Sm8 Sm 0.202 0.705 0.705
Ho1 Ho 0.500 0.000 0.000
Ho2 Ho 0.000 0.500 0.000
Ho3 Ho 0.000 0.000 0.000
Ho4 Ho 0.000 0.000 0.500
```

space group = C2/m, No. 12
ΔH_f (0 K) = 33 kJ per mole of atoms


13.
RbCaPb2 | PBE-GGA | relaxed

Structure (CIF):
```
data_RbCaPb2
_cell_length_a 3.784
_cell_length_b 3.784
_cell_length_c 11.730
_cell_angle_alpha 80.72
_cell_angle_beta 80.72
_cell_angle_gamma 60.00
_space_group_name_H-M_alt 'P 1'
_space_group_IT_number 1
loop_
_space_group_symop_operation_xyz
'x,y,z'
loop_
_atom_site_label
_atom_site_type_symbol
_atom_site_fract_x
_atom_site_fract_y
_atom_site_fract_z
Pb1 Pb 0.743 0.743 0.770
Pb2 Pb 0.257 0.257 0.230
Ca1 Ca 0.000 0.000 0.000
Rb1 Rb 0.500 0.500 0.500
```

space group = R-3m, No. 166
ΔH_f (0 K) = -15 kJ per mole of atoms
ΔE to the lowest computed polymorph = 148 meV per atom


14.
Ac3Bi | PBE-GGA | relaxed

Structure (CIF):
```
data_Ac3Bi
_cell_length_a 4.344
_cell_length_b 6.141
_cell_length_c 7.188
_cell_angle_alpha 115.29
_cell_angle_beta 107.59
_cell_angle_gamma 90.00
_space_group_name_H-M_alt 'P 1'
_space_group_IT_number 1
loop_
_space_group_symop_operation_xyz
'x,y,z'
loop_
_atom_site_label
_atom_site_type_symbol
_atom_site_fract_x
_atom_site_fract_y
_atom_site_fract_z
Ac1 Ac 0.281 0.651 0.562
Ac2 Ac 0.500 0.446 0.000
Ac3 Ac 0.719 0.089 0.438
Bi1 Bi 0.000 0.980 0.000
```

space group = Imm2, No. 44
ΔH_f (0 K) = -35 kJ per mole of atoms
ΔE to the lowest computed polymorph = 15 meV per atom


15.
NdY4Bi5 | PBE-GGA | relaxed

Structure (CIF):
```
data_NdY4Bi5
_cell_length_a 4.508
_cell_length_b 6.378
_cell_length_c 11.924
_cell_angle_alpha 105.51
_cell_angle_beta 100.90
_cell_angle_gamma 90.00
_space_group_name_H-M_alt 'P 1'
_space_group_IT_number 1
loop_
_space_group_symop_operation_xyz
'x,y,z'
loop_
_atom_site_label
_atom_site_type_symbol
_atom_site_fract_x
_atom_site_fract_y
_atom_site_fract_z
Nd1 Nd 0.000 0.000 0.000
Y1 Y 0.400 0.400 0.800
Y2 Y 0.798 0.798 0.597
Y3 Y 0.202 0.202 0.403
Y4 Y 0.600 0.600 0.200
Bi1 Bi 0.603 0.103 0.206
Bi2 Bi 0.801 0.301 0.601
Bi3 Bi 0.199 0.699 0.399
Bi4 Bi 0.000 0.500 0.000
Bi5 Bi 0.397 0.897 0.794
```

space group = Immm, No. 71
ΔH_f (0 K) = -87 kJ per mole of atoms


16.
LaZr2Au | PBE-GGA | relaxed

Structure (CIF):
```
data_LaZr2Au
_cell_length_a 4.295
_cell_length_b 4.295
_cell_length_c 11.373
_cell_angle_alpha 79.12
_cell_angle_beta 79.12
_cell_angle_gamma 90.00
_space_group_name_H-M_alt 'P 1'
_space_group_IT_number 1
loop_
_space_group_symop_operation_xyz
'x,y,z'
loop_
_atom_site_label
_atom_site_type_symbol
_atom_site_fract_x
_atom_site_fract_y
_atom_site_fract_z
Au1 Au 0.000 0.000 0.000
Au2 Au 0.750 0.250 0.500
Zr1 Zr 0.640 0.125 0.250
Zr2 Zr 0.110 0.625 0.250
Zr3 Zr 0.375 0.360 0.750
Zr4 Zr 0.875 0.890 0.750
La1 La 0.500 0.500 0.000
La2 La 0.250 0.750 0.500
```

space group = I-42d, No. 122
ΔH_f (0 K) = 3 kJ per mole of atoms
ΔE to the lowest computed polymorph = 312 meV per atom


17.
BaPtPb2F | PBE-GGA | relaxed

Structure (CIF):
```
data_BaPtPb2F
_cell_length_a 5.143
_cell_length_b 6.634
_cell_length_c 5.143
_cell_angle_alpha 90.00
_cell_angle_beta 90.00
_cell_angle_gamma 90.00
_space_group_name_H-M_alt 'P 1'
_space_group_IT_number 1
loop_
_space_group_symop_operation_xyz
'x,y,z'
loop_
_atom_site_label
_atom_site_type_symbol
_atom_site_fract_x
_atom_site_fract_y
_atom_site_fract_z
Pb1 Pb 0.000 0.000 0.500
Pb2 Pb 0.500 0.000 0.000
Ba1 Ba 0.500 0.500 0.500
Pt1 Pt 0.000 0.000 0.000
F1 F 0.000 0.500 0.000
```

space group = P4/mmm, No. 123
ΔE_f (raw) = -0.569 eV per atom


18.
ZrInSb2 | PBE-GGA | relaxed

Structure (CIF):
```
data_ZrInSb2
_cell_length_a 6.733
_cell_length_b 6.733
_cell_length_c 8.077
_cell_angle_alpha 65.37
_cell_angle_beta 65.37
_cell_angle_gamma 90.00
_space_group_name_H-M_alt 'P 1'
_space_group_IT_number 1
loop_
_space_group_symop_operation_xyz
'x,y,z'
loop_
_atom_site_label
_atom_site_type_symbol
_atom_site_fract_x
_atom_site_fract_y
_atom_site_fract_z
Sb1 Sb 0.612 0.125 0.250
Sb2 Sb 0.138 0.625 0.250
Sb3 Sb 0.375 0.388 0.750
Sb4 Sb 0.875 0.862 0.750
Zr1 Zr 0.500 0.500 0.000
Zr2 Zr 0.250 0.750 0.500
In1 In 0.000 0.000 0.000
In2 In 0.750 0.250 0.500
```

space group = I-42d, No. 122
ΔE_f (raw) = 0.036 eV per atom


Listing volume for the structures above in their given order: 15.4, 30.8, 39.5, 28.5, 15.8, 60.0, 13.6, 31.0, 21.9, 13.0, 39.8, 34.3, 35.7, 40.9, 32.4, 25.3, 35.1, 37.0 Å³/atom.
Listing DFT total energy for the structures above in their given order: -2.2969, -5.8228, -2.9556, -2.0845, -4.8019, -2.5585, -7.4569, -2.8275, -6.0288, -8.5449, -3.9374, -4.3509, -2.7551, -4.4133, -5.9080, -6.2974, -4.0189, -4.8464 eV/atom.